DFT (meta-GGA SCAN) results for a crystal of Ir2RuBr relaxed with PBEsol.

a = 2.8283 Å, b = 3.5251 Å, c = 6.4105 Å
α = 90.00°, β = 90.00°, γ = 90.00°
Positions (direct):
Br 0.5000 0.5000 0.7385
Ir 0.0000 0.0000 0.0457
Ir 0.5000 0.5000 0.2565
Ru 0.0000 0.0000 0.4593

Calculated values
As for the density of states at the Fermi level: 0.711 states/eV/atom. As for the total magnetization: 0.00 μB/cell. For the raw formation energy, the calculation gives 0.8057 eV per atom.